Entry 1:
K3PuO4 PBE-GGA relaxed; spin magnetization = 3.00 μB/cell; polymorph energy (0 for the lowest one) = 0.009 eV/atom; space group = Cmmm, No. 65; formation energy from raw total energies = -2132 meV per atom
1.0
3.564 0.000 0.000
0.000 6.624 0.081
0.000 -2.576 6.103
K O Pu
3 4 1
direct
0.000 0.500 0.000
0.000 0.000 0.500
0.500 0.500 0.500
0.500 0.180 0.820
0.000 0.798 0.798
0.500 0.820 0.180
0.000 0.202 0.202
0.500 0.000 0.000

***

Entry 2:
K3Pu2O7 PBE-GGA relaxed; spin magnetization = 5.00 μB/cell; space group = I4/mmm, No. 139; formation energy from raw total energies = -2418 meV per atom
1.0
4.217 0.000 -0.792
-0.149 4.214 -0.792
-0.040 -0.042 11.399
Pu O K
2 7 3
direct
0.904 0.904 0.807
0.096 0.096 0.193
0.095 0.595 0.190
0.405 0.905 0.810
0.814 0.814 0.629
0.595 0.095 0.190
0.905 0.405 0.810
0.000 0.000 0.000
0.186 0.186 0.371
0.500 0.500 0.000
0.310 0.310 0.620
0.690 0.690 0.380

***

Entry 3:
K2PuO6 PBE-GGA relaxed; spin magnetization = 1.56 μB/cell; space group = C2/m, No. 12; formation energy from raw total energies = -1788 meV per atom
1.0
-4.140 0.710 -3.355
-2.055 -5.263 0.754
-0.070 4.133 5.605
O K Pu
6 2 1
direct
0.576 0.899 0.000
0.819 0.106 0.762
0.057 0.345 0.239
0.424 0.101 0.000
0.943 0.655 0.761
0.181 0.894 0.238
0.666 0.666 0.332
0.334 0.334 0.668
0.000 0.000 0.000

***

Entry 4:
K5PuO4 PBE-GGA relaxed; spin magnetization = 3.33 μB/cell; space group = C2/m, No. 12; formation energy from raw total energies = -1668 meV per atom
1.0
-2.773 1.522 1.749
-4.099 -6.395 -0.936
6.138 -2.306 8.004
O Pu K
4 1 5
direct
0.000 0.196 0.001
0.398 0.940 0.795
0.602 0.060 0.205
0.000 0.804 0.999
0.500 0.000 0.000
0.860 0.141 0.721
0.140 0.859 0.279
0.143 0.306 0.287
0.500 0.500 0.000
0.857 0.694 0.713

***

Entry 5:
K4PuO4 PBE-GGA relaxed; spin magnetization = 3.09 μB/cell; polymorph energy (0 for the lowest one) = 0.000 eV/atom; space group = C2/m, No. 12; formation energy from raw total energies = -1895 meV per atom
1.0
-1.808 1.790 2.511
3.486 -0.662 5.527
6.109 8.644 0.780
O K Pu
4 4 1
direct
0.920 0.230 0.930
0.627 0.920 0.826
0.373 0.080 0.174
0.080 0.770 0.070
0.722 0.403 0.152
0.924 0.831 0.321
0.278 0.597 0.848
0.076 0.169 0.679
0.500 0.000 0.000

***

Entry 6:
K2Pu2O7 PBE-GGA relaxed; spin magnetization = 8.00 μB/cell; polymorph energy (0 for the lowest one) = 0.000 eV/atom; space group = Imma, No. 74; formation energy from raw total energies = -2467 meV per atom
1.0
7.024 0.000 4.019
2.524 6.626 3.736
0.076 0.020 8.014
O K Pu
14 4 4
direct
0.323 0.298 0.459
0.420 0.959 0.798
0.418 0.279 0.885
0.582 0.721 0.115
0.580 0.041 0.202
0.080 0.702 0.541
0.177 0.041 0.202
0.082 0.615 0.221
0.823 0.959 0.798
0.750 0.080 0.420
0.920 0.298 0.459
0.250 0.920 0.580
0.677 0.702 0.541
0.918 0.385 0.779
0.000 0.000 0.000
0.500 0.500 0.000
0.000 0.500 0.000
0.500 0.500 0.500
0.500 0.000 0.000
0.500 0.000 0.500
0.000 0.000 0.500
0.000 0.500 0.500

***

Entry 7:
K2PuO4 PBE-GGA relaxed; spin magnetization = 2.00 μB/cell; space group = I4/mmm, No. 139; formation energy from raw total energies = -2336 meV per atom
1.0
7.325 -0.002 0.000
4.770 5.559 0.000
-6.047 -2.778 3.060
K O Pu
2 4 1
direct
0.351 0.351 0.000
0.649 0.649 0.000
0.500 0.000 0.500
0.144 0.144 0.000
0.856 0.856 0.000
0.000 0.500 0.500
0.000 0.000 0.000

***

Entry 8:
K5Pu3O12 PBE-GGA relaxed; spin magnetization = 5.00 μB/cell; polymorph energy (0 for the lowest one) = 0.000 eV/atom; space group = P-62m, No. 189; formation energy from raw total energies = -2329 meV per atom
1.0
-3.070 1.232 1.058
-2.886 1.675 -10.324
-2.171 -9.502 4.766
K O Pu
5 12 3
direct
0.000 0.000 0.285
0.000 0.333 0.667
0.000 0.667 0.333
0.000 0.715 0.715
0.000 0.285 0.000
0.500 0.234 0.435
0.500 0.766 0.201
0.500 0.435 0.234
0.500 0.799 0.565
0.000 0.782 0.000
0.500 0.565 0.799
0.000 0.458 0.458
0.000 0.000 0.782
0.500 0.201 0.766
0.000 0.218 0.218
0.000 0.542 0.000
0.000 0.000 0.542
0.500 0.662 0.000
0.500 0.000 0.662
0.500 0.338 0.338